{"formula": "CoNi2Rh", "functional": "GGA-PBEsol", "state": "relaxed", "final_energy_ev_per_cell": -28.0, "vol_a3_per_cell": 45.3, "magmom_total_mub_per_cell": 3.92, "mass_density_g_cm3": 10.24, "sg": "I4/mmm, No. 139", "polymorph_energy_ev_per_atom": 0.005, "lattice": [[-0.627, -2.968, 1.816], [3.396, -0.120, 0.977], [-2.161, 3.508, 1.546]], "species": ["Ni", "Rh", "Co", "Ni"], "fractional_positions": [[0.250, 0.750, 0.500], [0.500, 0.500, 0.000], [0.000, 0.000, 0.000], [0.750, 0.250, 0.500]]}

---

{"formula": "BPd3Rh", "functional": "GGA-PBEsol", "state": "relaxed", "final_energy_ev_per_cell": -22.5, "vol_a3_per_cell": 103.2, "magmom_total_mub_per_cell": 0.78, "mass_density_g_cm3": 6.96, "sg": "Pm-3m, No. 221", "lattice": [[-0.746, 3.351, -3.197], [1.569, -2.864, -3.368], [-4.358, -1.605, -0.665]], "species": ["Pd", "B", "Pd", "Rh", "Pd"], "fractional_positions": [[0.000, 0.000, 0.500], [0.500, 0.500, 0.500], [0.500, 0.000, 0.000], [0.000, 0.000, 0.000], [0.000, 0.500, 0.000]]}

---

{"formula": "LiSi2Cl", "functional": "GGA-PBEsol", "state": "relaxed", "final_energy_ev_per_cell": -15.2, "vol_a3_per_cell": 65.1, "magmom_total_mub_per_cell": 0.00, "raw_formation_energy_kcal_per_mol_atoms": 1.3, "mass_density_g_cm3": 2.52, "sg": "F-43m, No. 216", "polymorph_energy_ev_per_atom": 0.602, "lattice": [[4.515, 0.000, 0.000], [2.257, 3.910, 0.000], [2.257, 1.303, 3.686]], "species": ["Si", "Cl", "Si", "Li"], "fractional_positions": [[0.000, 0.000, 0.000], [0.500, 0.500, 0.500], [0.750, 0.750, 0.750], [0.250, 0.250, 0.250]]}

---

{"formula": "SiPb2Au", "functional": "GGA-PBEsol", "state": "relaxed", "final_energy_ev_per_cell": -16.5, "vol_a3_per_cell": 91.8, "magmom_total_mub_per_cell": 0.00, "raw_formation_energy_kcal_per_mol_atoms": 6.9, "mass_density_g_cm3": 11.56, "sg": "I-4m2, No. 119", "lattice": [[-3.582, -2.369, 0.236], [2.319, -3.568, -0.627], [1.257, 2.512, 5.100]], "species": ["Si", "Au", "Pb", "Pb"], "fractional_positions": [[0.500, 0.500, 0.000], [0.250, 0.750, 0.500], [0.750, 0.250, 0.500], [0.000, 0.000, 0.000]]}